(1)
VASP calculation (GGA-PBEsol) on a relaxed structure of CaYPt4.

Structure (CIF):
```
data_CaYPt4
_symmetry_space_group_name_H-M 'P 1'
_symmetry_Int_Tables_number 1
_cell_length_a 5.363
_cell_length_b 5.363
_cell_length_c 5.363
_cell_angle_alpha 60.00
_cell_angle_beta 60.00
_cell_angle_gamma 60.00
loop_
_symmetry_equiv_pos_as_xyz
'x,y,z'
loop_
_atom_site_label
_atom_site_type_symbol
_atom_site_fract_x
_atom_site_fract_y
_atom_site_fract_z
_atom_site_occupancy
Ca1 Ca 0.000 0.000 0.000 1
Y1 Y 0.750 0.750 0.750 1
Pt1 Pt 0.375 0.375 0.375 1
Pt2 Pt 0.375 0.375 0.876 1
Pt3 Pt 0.375 0.876 0.375 1
Pt4 Pt 0.876 0.375 0.375 1
```

Calculated density   13.84 g/cm3
Volume   18.181 Å³/atom
ΔH_f (0 K)   -1012 meV per atom

***

(2)
VASP calculation (GGA-PBEsol) on a relaxed structure of CaYPt2.

Structure (CIF):
```
data_CaYPt2
_symmetry_space_group_name_H-M 'P 1'
_symmetry_Int_Tables_number 1
_cell_length_a 5.615
_cell_length_b 5.615
_cell_length_c 5.615
_cell_angle_alpha 137.52
_cell_angle_beta 137.52
_cell_angle_gamma 61.64
loop_
_symmetry_equiv_pos_as_xyz
'x,y,z'
loop_
_atom_site_label
_atom_site_type_symbol
_atom_site_fract_x
_atom_site_fract_y
_atom_site_fract_z
_atom_site_occupancy
Ca1 Ca 0.000 0.000 0.000 1
Y1 Y 0.750 0.250 0.500 1
Pt1 Pt 0.250 0.750 0.500 1
Pt2 Pt 0.500 0.500 0.000 1
```

Calculated density   10.80 g/cm3
Volume   19.951 Å³/atom
ΔH_f (0 K)   -831 meV per atom

***

(3)
VASP calculation (GGA-PBEsol) on a relaxed structure of Ca2YPt2.

Structure (CIF):
```
data_Ca2YPt2
_symmetry_space_group_name_H-M 'P 1'
_symmetry_Int_Tables_number 1
_cell_length_a 7.339
_cell_length_b 7.339
_cell_length_c 4.362
_cell_angle_alpha 90.00
_cell_angle_beta 90.00
_cell_angle_gamma 90.00
loop_
_symmetry_equiv_pos_as_xyz
'x,y,z'
loop_
_atom_site_label
_atom_site_type_symbol
_atom_site_fract_x
_atom_site_fract_y
_atom_site_fract_z
_atom_site_occupancy
Ca1 Ca 0.165 0.335 0.000 1
Ca2 Ca 0.335 0.835 0.000 1
Ca3 Ca 0.665 0.165 0.000 1
Ca4 Ca 0.835 0.665 0.000 1
Y1 Y 0.000 0.000 0.500 1
Y2 Y 0.500 0.500 0.500 1
Pt1 Pt 0.131 0.631 0.500 1
Pt2 Pt 0.369 0.131 0.500 1
Pt3 Pt 0.631 0.869 0.500 1
Pt4 Pt 0.869 0.369 0.500 1
```

Calculated density   7.90 g/cm3
Volume   23.496 Å³/atom
ΔH_f (0 K)   -825 meV per atom

***

(4)
VASP calculation (GGA-PBEsol) on a relaxed structure of Ca2YPt.

Structure (CIF):
```
data_Ca2YPt
_symmetry_space_group_name_H-M 'P 1'
_symmetry_Int_Tables_number 1
_cell_length_a 3.779
_cell_length_b 8.292
_cell_length_c 8.292
_cell_angle_alpha 28.38
_cell_angle_beta 90.00
_cell_angle_gamma 90.00
loop_
_symmetry_equiv_pos_as_xyz
'x,y,z'
loop_
_atom_site_label
_atom_site_type_symbol
_atom_site_fract_x
_atom_site_fract_y
_atom_site_fract_z
_atom_site_occupancy
Ca1 Ca 0.000 0.000 0.000 1
Ca2 Ca 0.500 0.329 0.329 1
Y1 Y 0.500 0.648 0.648 1
Pt1 Pt 0.000 0.184 0.184 1
```

Calculated density   4.89 g/cm3
Volume   30.884 Å³/atom
ΔH_f (0 K)   -557 meV per atom

***

(5)
VASP calculation (GGA-PBEsol) on a relaxed structure of Ca2YPt.

Structure (CIF):
```
data_Ca2YPt
_symmetry_space_group_name_H-M 'P 1'
_symmetry_Int_Tables_number 1
_cell_length_a 7.907
_cell_length_b 7.907
_cell_length_c 7.907
_cell_angle_alpha 154.60
_cell_angle_beta 145.61
_cell_angle_gamma 43.23
loop_
_symmetry_equiv_pos_as_xyz
'x,y,z'
loop_
_atom_site_label
_atom_site_type_symbol
_atom_site_fract_x
_atom_site_fract_y
_atom_site_fract_z
_atom_site_occupancy
Ca1 Ca 0.167 0.167 0.000 1
Ca2 Ca 0.833 0.833 0.000 1
Y1 Y 0.500 0.000 0.500 1
Pt1 Pt 0.000 0.500 0.500 1
```

Calculated density   5.06 g/cm3
Volume   29.870 Å³/atom
ΔH_f (0 K)   -456 meV per atom

***

(6)
VASP calculation (GGA-PBEsol) on a relaxed structure of CaYPt2.

Structure (CIF):
```
data_CaYPt2
_symmetry_space_group_name_H-M 'P 1'
_symmetry_Int_Tables_number 1
_cell_length_a 4.849
_cell_length_b 4.849
_cell_length_c 4.849
_cell_angle_alpha 60.00
_cell_angle_beta 60.00
_cell_angle_gamma 60.00
loop_
_symmetry_equiv_pos_as_xyz
'x,y,z'
loop_
_atom_site_label
_atom_site_type_symbol
_atom_site_fract_x
_atom_site_fract_y
_atom_site_fract_z
_atom_site_occupancy
Ca1 Ca 0.000 0.000 0.000 1
Y1 Y 0.500 0.500 0.500 1
Pt1 Pt 0.250 0.250 0.250 1
Pt2 Pt 0.750 0.750 0.750 1
```

Calculated density   10.70 g/cm3
Volume   20.150 Å³/atom
ΔH_f (0 K)   -1005 meV per atom